Entry 1:
Material: CaCr2Re
Method: DFT, PBE
State: optimized geometry

POSCAR file:
```
CaCr2Re
1.0
2.7202 0.0007 0.0000
-0.9202 2.5598 0.0000
0.0000 0.0000 9.0856
Re Ca Cr
1 1 2
direct
0.5000 0.5000 0.2500
0.5000 0.5000 0.7500
0.0000 0.0000 0.0338
0.0000 0.0000 0.4662
```

Computed properties:
Size of the total moment, μB/f.u.: 0.00
Polymorph energy (0 for the lowest one), eV per atom: 0.228

Entry 2:
Material: Ta6Nb2V
Method: DFT, PBE
State: optimized geometry

POSCAR file:
```
Ta6Nb2V
1.0
2.6806 0.0000 0.0000
0.0000 8.3975 0.0000
0.0000 -4.1988 7.2734
Ta Nb V
6 2 1
direct
0.5000 0.6616 0.0000
0.5000 0.3384 0.3384
0.5000 0.0000 0.6616
0.0000 0.3167 0.0000
0.0000 0.6833 0.6833
0.0000 0.0001 0.3167
0.0000 0.3334 0.6667
0.0000 0.6667 0.3333
0.5000 0.9998 0.0000
```

Computed properties:
Size of the total moment, μB/f.u.: 0.00
Polymorph energy (0 for the lowest one), eV per atom: 0.125

Entry 3:
Material: LiCaTcC
Method: DFT, PBE
State: optimized geometry

POSCAR file:
```
LiCaTcC
1.0
-0.0576 0.4860 3.8787
3.1503 -2.2908 0.3338
6.4158 8.6784 -0.9920
Li Ca Tc C
2 2 2 2
direct
0.2500 0.7500 0.5000
0.7500 0.2500 0.5000
0.7500 0.7500 0.2311
0.2500 0.2500 0.7689
0.7500 0.2500 0.0000
0.2500 0.7500 0.0000
0.7500 0.7500 0.9376
0.2500 0.2500 0.0624
```

Computed properties:
VASP energy, eV per atom: -5.730
Size of the total moment, μB/f.u.: 0.00

Number 3 is which compound?
LiCaTcC

What is the size of the total moment in the second record?
0.00 μB/f.u.